Entry 1:
Crystalline LiDy3Th4Te8 at its relaxed geometry. Source: Alexandria via LeMat-Bulk, functional PBE.

D(E_F) = 0.663 states/eV/atom
SG = No. 166
DFT total energy = -88.87 eV per cell
Formation energy from raw total energies = -18.3 eV per formula unit

Unit cell a=9.171 b=9.171 c=9.171 alpha=54.77 beta=54.77 gamma=54.77
Fractional coordinates of all 16 atoms:
Li1 0.000 0.000 0.000
Dy1 0.000 0.500 0.500
Dy2 0.500 0.000 0.500
Dy3 0.500 0.500 0.000
Th1 0.000 0.000 0.500
Th2 0.000 0.500 0.000
Th3 0.500 0.000 0.000
Th4 0.500 0.500 0.500
Te1 0.239 0.239 0.753
Te2 0.239 0.753 0.239
Te3 0.247 0.761 0.761
Te4 0.255 0.255 0.255
Te5 0.745 0.745 0.745
Te6 0.753 0.239 0.239
Te7 0.761 0.247 0.761
Te8 0.761 0.761 0.247


Entry 2:
Crystalline LiDy2ThTe4 at its relaxed geometry. Source: Alexandria via LeMat-Bulk, functional PBE.

D(E_F) = 0.628 states/eV/atom
SG = No. 10
DFT total energy = -40.78 eV per cell
Formation energy from raw total energies = -9.7 eV per formula unit

Unit cell a=7.505 b=4.327 c=7.684 alpha=90.00 beta=108.77 gamma=90.00
Fractional coordinates of all 8 atoms:
Li1 0.000 0.000 0.000
Dy1 0.500 0.000 0.500
Dy2 0.500 0.500 0.000
Th1 0.000 0.500 0.500
Te1 0.247 0.500 0.240
Te2 0.252 0.000 0.764
Te3 0.748 0.000 0.236
Te4 0.753 0.500 0.760